1.
{"formula": "KCrF2", "functional": "PBE with a Hubbard U", "state": "optimized geometry", "e_tot_ev_per_atom": -5.01, "sg": "No. 122", "m_tot_mub_per_fu": 5.00, "dos_ef_per_ev_fu": 2.56, "volume_a3_per_atom": 21.0, "lattice": [[-4.582, -2.020, 1.647], [1.159, -4.563, -2.371], [0.969, -5.243, 4.703]], "species": ["K", "F", "F", "Cr", "F", "Cr", "K", "F"], "fractional_positions": [[0.250, 0.750, 0.500], [0.062, 0.625, 0.250], [0.375, 0.312, 0.750], [0.000, 0.000, 0.000], [0.875, 0.938, 0.750], [0.750, 0.250, 0.500], [0.500, 0.500, 0.000], [0.688, 0.125, 0.250]]}

***

2.
{"formula": "KCr3F", "functional": "PBE with a Hubbard U", "state": "optimized geometry", "e_tot_ev_per_atom": -4.87, "sg": "No. 221", "m_tot_mub_per_fu": 15.21, "dos_ef_per_ev_fu": 2.31, "volume_a3_per_atom": 24.6, "lattice": [[-3.767, -0.447, -3.213], [-3.107, -0.918, 3.770], [-0.932, 4.865, 0.416]], "species": ["Cr", "Cr", "K", "F", "Cr"], "fractional_positions": [[0.500, 0.000, 0.000], [0.000, 0.500, 0.000], [0.500, 0.500, 0.500], [0.000, 0.000, 0.000], [0.000, 0.000, 0.500]]}